NaNpWO6 | PBE+U | optimized geometry

Structure (extended XYZ):
```
18
Lattice="5.554 0.000 0.000 -2.777 4.810 0.000 0.000 0.000 10.118" Properties=species:S:1:pos:R:3 pbc="T T T"
Na 0.000 0.000 0.000
Na 0.000 0.000 5.059
Np 0.000 3.207 2.530
Np 2.777 1.603 7.589
W 0.000 3.207 7.589
W 2.777 1.603 2.530
O -0.936 1.846 6.525
O -1.646 3.076 8.653
O 0.936 1.846 8.653
O -0.710 4.697 6.525
O 2.067 0.112 1.466
O 1.131 1.734 3.593
O 1.646 3.076 6.525
O 0.710 4.697 8.653
O 3.487 0.112 3.593
O 1.841 2.963 1.466
O 4.423 1.734 1.466
O 3.713 2.963 3.593
```

Properties
Energy, eV/atom: -8.010